Entry from Alexandria via LeMat-Bulk: Sn2CBrCl after structural relaxation (PBE).

Structure (CIF):
```
data_Sn2CBrCl
_chemical_formula_sum 'Sn2 C1 Br1 Cl1'
_symmetry_space_group_name_H-M 'P 1'
_symmetry_Int_Tables_number 1
_symmetry_space_group_name_Hall 'P 1'
_cell_length_a 4.9652
_cell_length_b 4.9652
_cell_length_c 4.7066
_cell_angle_alpha 90.00
_cell_angle_beta 90.00
_cell_angle_gamma 90.00
loop_
_atom_site_label
_atom_site_type_symbol
_atom_site_fract_x
_atom_site_fract_y
_atom_site_fract_z
Sn1 Sn 0.0000 0.5000 0.0000
Sn2 Sn 0.5000 0.0000 0.0000
C1 C 0.0000 0.0000 0.0000
Br1 Br 0.5000 0.5000 0.5000
Cl1 Cl 0.0000 0.0000 0.5000
```

Values from the calculation:
Its space group is P4/mmm. Its density of states at the Fermi level is 2.4 states/eV per cell. Its calculated total energy is -3.55 eV/atom.